(1)
{
  "formula": "LiCdAg2",
  "functional": "PBE-GGA",
  "state": "optimized geometry",
  "dft_energy_ev_per_atom": -2.281,
  "delta_e_f_ev_per_atom": -0.148,
  "cell": [[4.696, 0.000, 0.000], [0.000, 4.696, 0.000], [0.000, 0.000, 3.275]],
  "species": ["Cd", "Ag", "Ag", "Li"],
  "frac_coords": [[0.500, 0.000, 0.500], [0.000, 0.000, 0.000], [0.500, 0.500, 0.000], [0.000, 0.500, 0.500]]
}

***

(2)
{
  "formula": "PaGaCoTc",
  "functional": "PBE-GGA",
  "state": "optimized geometry",
  "dft_energy_ev_per_atom": -7.768,
  "e_above_lowest_polymorph_mev_per_atom": 92,
  "delta_e_f_ev_per_atom": -0.269,
  "cell": [[4.540, 0.000, 0.000], [2.270, 3.932, 0.000], [2.270, 1.311, 3.707]],
  "species": ["Pa", "Ga", "Tc", "Co"],
  "frac_coords": [[0.750, 0.750, 0.750], [0.250, 0.250, 0.250], [0.000, 0.000, 0.000], [0.500, 0.500, 0.500]]
}

***

(3)
{
  "formula": "Tm3Ga6Pt5",
  "functional": "PBE-GGA",
  "state": "optimized geometry",
  "dft_energy_ev_per_atom": -5.379,
  "delta_e_f_ev_per_atom": -0.967,
  "cell": [[4.259, 0.000, 0.000], [0.000, 9.398, 0.000], [0.000, 0.000, 12.568]],
  "species": ["Pt", "Pt", "Pt", "Pt", "Pt", "Pt", "Pt", "Pt", "Pt", "Pt", "Ga", "Ga", "Ga", "Ga", "Ga", "Ga", "Ga", "Ga", "Ga", "Ga", "Ga", "Ga", "Tm", "Tm", "Tm", "Tm", "Tm", "Tm"],
  "frac_coords": [[0.000, 0.533, 0.881], [0.500, 0.467, 0.381], [0.000, 0.533, 0.119], [0.000, 0.867, 0.650], [0.500, 0.209, 0.500], [0.500, 0.133, 0.150], [0.500, 0.467, 0.619], [0.500, 0.133, 0.850], [0.000, 0.867, 0.350], [0.000, 0.791, 0.000], [0.000, 0.050, 0.500], [0.000, 0.595, 0.322], [0.000, 0.417, 0.500], [0.500, 0.405, 0.822], [0.500, 0.583, 0.000], [0.500, 0.023, 0.656], [0.500, 0.405, 0.178], [0.000, 0.595, 0.678], [0.500, 0.950, 0.000], [0.000, 0.977, 0.844], [0.500, 0.023, 0.344], [0.000, 0.977, 0.156], [0.000, 0.252, 0.702], [0.000, 0.257, 0.000], [0.500, 0.743, 0.500], [0.500, 0.748, 0.202], [0.500, 0.748, 0.798], [0.000, 0.252, 0.298]]
}

***

(4)
{
  "formula": "Li2CoAg",
  "functional": "PBE-GGA",
  "state": "optimized geometry",
  "dft_energy_ev_per_atom": -3.298,
  "delta_e_f_ev_per_atom": 0.148,
  "cell": [[4.339, 0.000, 0.000], [0.000, 2.646, -0.001], [0.000, 0.538, 4.936]],
  "species": ["Co", "Li", "Li", "Ag"],
  "frac_coords": [[0.500, 0.750, 0.750], [0.000, 0.512, 0.514], [0.000, 0.988, 0.986], [0.500, 0.250, 0.250]]
}

***

(5)
{
  "formula": "EuAgGe",
  "functional": "PBE-GGA",
  "state": "optimized geometry",
  "dft_energy_ev_per_atom": -6.103,
  "delta_e_f_ev_per_atom": -0.189,
  "cell": [[3.720, 0.000, 0.000], [0.000, 3.720, 0.000], [-1.860, -1.860, 5.221]],
  "species": ["Eu", "Ge", "Ag"],
  "frac_coords": [[0.616, 0.616, 0.233], [0.922, 0.922, 0.845], [0.311, 0.311, 0.622]]
}

***

(6)
{
  "formula": "LaBS2Cl",
  "functional": "PBE-GGA",
  "state": "optimized geometry",
  "dft_energy_ev_per_atom": -5.063,
  "e_above_lowest_polymorph_mev_per_atom": 0,
  "e_form_raw_mev_per_atom": -722,
  "cell": [[4.500, 0.000, 0.000], [0.000, 4.500, 0.000], [0.000, 0.000, 4.407]],
  "species": ["B", "Cl", "S", "S", "La"],
  "frac_coords": [[0.000, 0.000, 0.000], [0.000, 0.000, 0.500], [0.500, 0.000, 0.000], [0.000, 0.500, 0.000], [0.500, 0.500, 0.500]]
}